[1]
# NaCdRhF6 | Alexandria | PBE | optimized geometry
data_NaCdRhF6
_cell_length_a 5.554
_cell_length_b 5.554
_cell_length_c 9.465
_cell_angle_alpha 90.00
_cell_angle_beta 90.00
_cell_angle_gamma 120.00
_symmetry_space_group_name_H-M 'P 1'
_symmetry_Int_Tables_number 1
_symmetry_space_group_name_Hall 'P 1'
loop_
_atom_site_label
_atom_site_type_symbol
_atom_site_fract_x
_atom_site_fract_y
_atom_site_fract_z
Na1 Na 0.333 0.667 0.250
Na2 Na 0.667 0.333 0.750
Cd1 Cd 0.000 0.000 0.000
Cd2 Cd 0.000 0.000 0.500
Rh1 Rh 0.333 0.667 0.750
Rh2 Rh 0.667 0.333 0.250
F1 F 0.035 0.364 0.630
F2 F 0.035 0.671 0.870
F3 F 0.329 0.364 0.870
F4 F 0.329 0.965 0.630
F5 F 0.364 0.035 0.130
F6 F 0.364 0.329 0.370
F7 F 0.636 0.671 0.630
F8 F 0.636 0.965 0.870
F9 F 0.671 0.035 0.370
F10 F 0.671 0.636 0.130
F11 F 0.965 0.329 0.130
F12 F 0.965 0.636 0.370
# * formation energy without anion corrections: -2.0479 eV per atom
# * M_tot: 0.16 μB per formula unit

***

[2]
# NaCdRuF6 | Alexandria | PBE | optimized geometry
data_NaCdRuF6
_cell_length_a 5.581
_cell_length_b 5.581
_cell_length_c 9.457
_cell_angle_alpha 90.00
_cell_angle_beta 90.00
_cell_angle_gamma 120.00
_symmetry_space_group_name_H-M 'P 1'
_symmetry_Int_Tables_number 1
_symmetry_space_group_name_Hall 'P 1'
loop_
_atom_site_label
_atom_site_type_symbol
_atom_site_fract_x
_atom_site_fract_y
_atom_site_fract_z
Na1 Na 0.333 0.667 0.250
Na2 Na 0.667 0.333 0.750
Cd1 Cd 0.000 0.000 0.000
Cd2 Cd 0.000 0.000 0.500
Ru1 Ru 0.333 0.667 0.750
Ru2 Ru 0.667 0.333 0.250
F1 F 0.034 0.363 0.630
F2 F 0.034 0.671 0.870
F3 F 0.329 0.363 0.870
F4 F 0.329 0.966 0.630
F5 F 0.363 0.034 0.130
F6 F 0.363 0.329 0.370
F7 F 0.637 0.671 0.630
F8 F 0.637 0.966 0.870
F9 F 0.671 0.034 0.370
F10 F 0.671 0.637 0.130
F11 F 0.966 0.329 0.130
F12 F 0.966 0.637 0.370
# * formation energy without anion corrections: -2.0388 eV per atom
# * M_tot: 1.00 μB per formula unit

***

[3]
# NaScCdF6 | Alexandria | PBE | optimized geometry
data_NaScCdF6
_cell_length_a 5.109
_cell_length_b 5.109
_cell_length_c 10.254
_cell_angle_alpha 90.00
_cell_angle_beta 90.00
_cell_angle_gamma 90.00
_symmetry_space_group_name_H-M 'P 1'
_symmetry_Int_Tables_number 1
_symmetry_space_group_name_Hall 'P 1'
loop_
_atom_site_label
_atom_site_type_symbol
_atom_site_fract_x
_atom_site_fract_y
_atom_site_fract_z
Na1 Na 0.000 0.000 0.000
Na2 Na 0.500 0.500 0.500
Sc1 Sc 0.000 0.000 0.665
Sc2 Sc 0.500 0.500 0.165
Cd1 Cd 0.000 0.000 0.330
Cd2 Cd 0.500 0.500 0.830
F1 F 0.184 0.184 0.513
F2 F 0.190 0.190 0.813
F3 F 0.217 0.217 0.170
F4 F 0.283 0.717 0.670
F5 F 0.310 0.690 0.313
F6 F 0.316 0.684 0.013
F7 F 0.684 0.316 0.013
F8 F 0.690 0.310 0.313
F9 F 0.717 0.283 0.670
F10 F 0.783 0.783 0.170
F11 F 0.810 0.810 0.813
F12 F 0.816 0.816 0.513
# * formation energy without anion corrections: -3.1274 eV per atom
# * M_tot: 0.00 μB per formula unit

***

[4]
# NaCdSiF2 | Alexandria | PBE | optimized geometry
data_NaCdSiF2
_cell_length_a 4.283
_cell_length_b 4.283
_cell_length_c 6.855
_cell_angle_alpha 90.00
_cell_angle_beta 90.00
_cell_angle_gamma 90.00
_symmetry_space_group_name_H-M 'P 1'
_symmetry_Int_Tables_number 1
_symmetry_space_group_name_Hall 'P 1'
loop_
_atom_site_label
_atom_site_type_symbol
_atom_site_fract_x
_atom_site_fract_y
_atom_site_fract_z
Na1 Na 0.000 0.000 0.000
Cd1 Cd 0.000 0.000 0.500
Si1 Si 0.500 0.500 0.000
F1 F 0.000 0.500 0.500
F2 F 0.500 0.000 0.500
# * formation energy without anion corrections: -0.6113 eV per atom
# * M_tot: 0.00 μB per formula unit

***

[5]
# Na2SmCdF8 | Alexandria | PBE | optimized geometry
data_Na2SmCdF8
_cell_length_a 3.900
_cell_length_b 5.528
_cell_length_c 7.816
_cell_angle_alpha 90.00
_cell_angle_beta 90.00
_cell_angle_gamma 90.00
_symmetry_space_group_name_H-M 'P 1'
_symmetry_Int_Tables_number 1
_symmetry_space_group_name_Hall 'P 1'
loop_
_atom_site_label
_atom_site_type_symbol
_atom_site_fract_x
_atom_site_fract_y
_atom_site_fract_z
Na1 Na 0.000 0.000 0.244
Na2 Na 0.000 0.000 0.756
Sm1 Sm 0.500 0.500 0.500
Cd1 Cd 0.500 0.500 0.000
F1 F 0.000 0.262 0.500
F2 F 0.000 0.265 0.000
F3 F 0.000 0.735 0.000
F4 F 0.000 0.738 0.500
F5 F 0.500 0.262 0.251
F6 F 0.500 0.262 0.749
F7 F 0.500 0.738 0.251
F8 F 0.500 0.738 0.749
# * formation energy without anion corrections: -2.8220 eV per atom
# * M_tot: 1.10 μB per formula unit

***

[6]
# NaSmCdF6 | Alexandria | PBE | optimized geometry
data_NaSmCdF6
_cell_length_a 5.276
_cell_length_b 5.276
_cell_length_c 10.778
_cell_angle_alpha 90.00
_cell_angle_beta 90.00
_cell_angle_gamma 90.00
_symmetry_space_group_name_H-M 'P 1'
_symmetry_Int_Tables_number 1
_symmetry_space_group_name_Hall 'P 1'
loop_
_atom_site_label
_atom_site_type_symbol
_atom_site_fract_x
_atom_site_fract_y
_atom_site_fract_z
Na1 Na 0.000 0.000 0.000
Na2 Na 0.500 0.500 0.500
Sm1 Sm 0.000 0.000 0.666
Sm2 Sm 0.500 0.500 0.166
Cd1 Cd 0.000 0.000 0.333
Cd2 Cd 0.500 0.500 0.833
F1 F 0.189 0.189 0.501
F2 F 0.197 0.197 0.172
F3 F 0.198 0.198 0.825
F4 F 0.302 0.698 0.325
F5 F 0.303 0.697 0.672
F6 F 0.311 0.689 0.001
F7 F 0.689 0.311 0.001
F8 F 0.697 0.303 0.672
F9 F 0.698 0.302 0.325
F10 F 0.802 0.802 0.825
F11 F 0.803 0.803 0.172
F12 F 0.811 0.811 0.501
# * formation energy without anion corrections: -3.1448 eV per atom
# * M_tot: 0.00 μB per formula unit

***

[7]
# Na2CdSnF8 | Alexandria | PBE | optimized geometry
data_Na2CdSnF8
_cell_length_a 5.104
_cell_length_b 7.074
_cell_length_c 5.152
_cell_angle_alpha 90.00
_cell_angle_beta 92.65
_cell_angle_gamma 90.00
_symmetry_space_group_name_H-M 'P 1'
_symmetry_Int_Tables_number 1
_symmetry_space_group_name_Hall 'P 1'
loop_
_atom_site_label
_atom_site_type_symbol
_atom_site_fract_x
_atom_site_fract_y
_atom_site_fract_z
Na1 Na 0.000 0.246 0.000
Na2 Na 0.000 0.754 0.000
Cd1 Cd 0.500 0.000 0.500
Sn1 Sn 0.500 0.500 0.500
F1 F 0.203 0.000 0.207
F2 F 0.216 0.500 0.221
F3 F 0.318 0.289 0.684
F4 F 0.318 0.711 0.684
F5 F 0.682 0.289 0.316
F6 F 0.682 0.711 0.316
F7 F 0.784 0.500 0.779
F8 F 0.797 0.000 0.793
# * formation energy without anion corrections: -2.5423 eV per atom
# * M_tot: 0.00 μB per formula unit

***

[8]
# Na2CdSnF | Alexandria | PBE | optimized geometry
data_Na2CdSnF
_cell_length_a 4.430
_cell_length_b 4.430
_cell_length_c 5.676
_cell_angle_alpha 90.00
_cell_angle_beta 90.00
_cell_angle_gamma 90.00
_symmetry_space_group_name_H-M 'P 1'
_symmetry_Int_Tables_number 1
_symmetry_space_group_name_Hall 'P 1'
loop_
_atom_site_label
_atom_site_type_symbol
_atom_site_fract_x
_atom_site_fract_y
_atom_site_fract_z
Na1 Na 0.000 0.500 0.000
Na2 Na 0.500 0.000 0.000
Cd1 Cd 0.000 0.000 0.500
Sn1 Sn 0.500 0.500 0.500
F1 F 0.000 0.000 0.000
# * formation energy without anion corrections: -0.9915 eV per atom
# * M_tot: 0.00 μB per formula unit

***

[9]
# NaCd2SnF8 | Alexandria | PBE | optimized geometry
data_NaCd2SnF8
_cell_length_a 3.927
_cell_length_b 5.478
_cell_length_c 7.754
_cell_angle_alpha 90.00
_cell_angle_beta 90.00
_cell_angle_gamma 90.00
_symmetry_space_group_name_H-M 'P 1'
_symmetry_Int_Tables_number 1
_symmetry_space_group_name_Hall 'P 1'
loop_
_atom_site_label
_atom_site_type_symbol
_atom_site_fract_x
_atom_site_fract_y
_atom_site_fract_z
Na1 Na 0.000 0.000 0.000
Cd1 Cd 0.500 0.500 0.233
Cd2 Cd 0.500 0.500 0.767
Sn1 Sn 0.000 0.000 0.500
F1 F 0.000 0.250 0.273
F2 F 0.000 0.250 0.727
F3 F 0.000 0.750 0.273
F4 F 0.000 0.750 0.727
F5 F 0.500 0.232 0.500
F6 F 0.500 0.253 0.000
F7 F 0.500 0.747 0.000
F8 F 0.500 0.768 0.500
# * formation energy without anion corrections: -2.3038 eV per atom
# * M_tot: 0.00 μB per formula unit

***

[10]
# NaCdSnF6 | Alexandria | PBE | optimized geometry
data_NaCdSnF6
_cell_length_a 5.792
_cell_length_b 5.792
_cell_length_c 9.612
_cell_angle_alpha 90.00
_cell_angle_beta 90.00
_cell_angle_gamma 120.00
_symmetry_space_group_name_H-M 'P 1'
_symmetry_Int_Tables_number 1
_symmetry_space_group_name_Hall 'P 1'
loop_
_atom_site_label
_atom_site_type_symbol
_atom_site_fract_x
_atom_site_fract_y
_atom_site_fract_z
Na1 Na 0.333 0.667 0.250
Na2 Na 0.667 0.333 0.750
Cd1 Cd 0.000 0.000 0.000
Cd2 Cd 0.000 0.000 0.500
Sn1 Sn 0.333 0.667 0.750
Sn2 Sn 0.667 0.333 0.250
F1 F 0.026 0.348 0.630
F2 F 0.026 0.678 0.870
F3 F 0.322 0.348 0.870
F4 F 0.322 0.974 0.630
F5 F 0.348 0.026 0.130
F6 F 0.348 0.322 0.370
F7 F 0.652 0.678 0.630
F8 F 0.652 0.974 0.870
F9 F 0.678 0.026 0.370
F10 F 0.678 0.652 0.130
F11 F 0.974 0.322 0.130
F12 F 0.974 0.652 0.370
# * formation energy without anion corrections: -2.3621 eV per atom
# * M_tot: 0.00 μB per formula unit

***

[11]
# Na2SrCdF | Alexandria | PBE | optimized geometry
data_Na2SrCdF
_cell_length_a 5.076
_cell_length_b 5.076
_cell_length_c 5.050
_cell_angle_alpha 90.00
_cell_angle_beta 90.00
_cell_angle_gamma 90.00
_symmetry_space_group_name_H-M 'P 1'
_symmetry_Int_Tables_number 1
_symmetry_space_group_name_Hall 'P 1'
loop_
_atom_site_label
_atom_site_type_symbol
_atom_site_fract_x
_atom_site_fract_y
_atom_site_fract_z
Na1 Na 0.000 0.500 0.000
Na2 Na 0.500 0.000 0.000
Sr1 Sr 0.000 0.000 0.500
Cd1 Cd 0.500 0.500 0.500
F1 F 0.000 0.000 0.000
# * formation energy without anion corrections: -1.1341 eV per atom
# * M_tot: 0.00 μB per formula unit

***

[12]
# NaSrCd2F8 | Alexandria | PBE | optimized geometry
data_NaSrCd2F8
_cell_length_a 3.938
_cell_length_b 7.796
_cell_length_c 5.681
_cell_angle_alpha 90.00
_cell_angle_beta 90.21
_cell_angle_gamma 90.00
_symmetry_space_group_name_H-M 'P 1'
_symmetry_Int_Tables_number 1
_symmetry_space_group_name_Hall 'P 1'
loop_
_atom_site_label
_atom_site_type_symbol
_atom_site_fract_x
_atom_site_fract_y
_atom_site_fract_z
Na1 Na 0.000 0.000 0.000
Sr1 Sr 0.000 0.500 0.000
Cd1 Cd 0.500 0.241 0.500
Cd2 Cd 0.500 0.759 0.500
F1 F 0.002 0.245 0.265
F2 F 0.002 0.755 0.265
F3 F 0.497 0.000 0.741
F4 F 0.498 0.500 0.734
F5 F 0.502 0.500 0.266
F6 F 0.503 0.000 0.259
F7 F 0.998 0.245 0.735
F8 F 0.998 0.755 0.735
# * formation energy without anion corrections: -2.5085 eV per atom
# * M_tot: 1.14 μB per formula unit

***

[13]
# Na2TlCdF8 | Alexandria | PBE | optimized geometry
data_Na2TlCdF8
_cell_length_a 3.844
_cell_length_b 7.648
_cell_length_c 5.590
_cell_angle_alpha 90.00
_cell_angle_beta 90.18
_cell_angle_gamma 90.00
_symmetry_space_group_name_H-M 'P 1'
_symmetry_Int_Tables_number 1
_symmetry_space_group_name_Hall 'P 1'
loop_
_atom_site_label
_atom_site_type_symbol
_atom_site_fract_x
_atom_site_fract_y
_atom_site_fract_z
Na1 Na 0.000 0.249 0.000
Na2 Na 0.000 0.751 0.000
Tl1 Tl 0.500 0.500 0.500
Cd1 Cd 0.500 0.000 0.500
F1 F 0.001 0.500 0.265
F2 F 0.002 0.000 0.263
F3 F 0.498 0.257 0.737
F4 F 0.498 0.743 0.737
F5 F 0.502 0.257 0.263
F6 F 0.502 0.743 0.263
F7 F 0.998 0.000 0.737
F8 F 0.999 0.500 0.735
# * formation energy without anion corrections: -2.0682 eV per atom
# * M_tot: 1.13 μB per formula unit

***

[14]
# Na3TlCd4F12 | Alexandria | PBE | optimized geometry
data_Na3TlCd4F12
_cell_length_a 7.416
_cell_length_b 7.416
_cell_length_c 7.416
_cell_angle_alpha 109.47
_cell_angle_beta 109.47
_cell_angle_gamma 109.47
_symmetry_space_group_name_H-M 'P 1'
_symmetry_Int_Tables_number 1
_symmetry_space_group_name_Hall 'P 1'
loop_
_atom_site_label
_atom_site_type_symbol
_atom_site_fract_x
_atom_site_fract_y
_atom_site_fract_z
Na1 Na 0.000 0.500 0.500
Na2 Na 0.500 0.000 0.500
Na3 Na 0.500 0.500 0.000
Tl1 Tl 0.000 0.000 0.000
Cd1 Cd 0.000 0.000 0.500
Cd2 Cd 0.000 0.500 0.000
Cd3 Cd 0.500 0.000 0.000
Cd4 Cd 0.500 0.500 0.500
F1 F 0.122 0.307 0.816
F2 F 0.184 0.491 0.307
F3 F 0.184 0.878 0.693
F4 F 0.307 0.184 0.491
F5 F 0.307 0.816 0.122
F6 F 0.491 0.307 0.184
F7 F 0.509 0.693 0.816
F8 F 0.693 0.184 0.878
F9 F 0.693 0.816 0.509
F10 F 0.816 0.122 0.307
F11 F 0.816 0.509 0.693
F12 F 0.878 0.693 0.184
# * formation energy without anion corrections: -2.3174 eV per atom
# * M_tot: 0.00 μB per formula unit

***

[15]
# NaTl2CdF6 | Alexandria | PBE | optimized geometry
data_NaTl2CdF6
_cell_length_a 6.086
_cell_length_b 6.342
_cell_length_c 10.574
_cell_angle_alpha 90.00
_cell_angle_beta 124.44
_cell_angle_gamma 90.00
_symmetry_space_group_name_H-M 'P 1'
_symmetry_Int_Tables_number 1
_symmetry_space_group_name_Hall 'P 1'
loop_
_atom_site_label
_atom_site_type_symbol
_atom_site_fract_x
_atom_site_fract_y
_atom_site_fract_z
Na1 Na 0.000 0.000 0.000
Na2 Na 0.000 0.500 0.500
Tl1 Tl 0.224 0.060 0.747
Tl2 Tl 0.224 0.440 0.247
Tl3 Tl 0.776 0.560 0.753
Tl4 Tl 0.776 0.940 0.253
Cd1 Cd 0.500 0.000 0.500
Cd2 Cd 0.500 0.500 0.000
F1 F 0.141 0.198 0.437
F2 F 0.141 0.302 0.937
F3 F 0.228 0.712 0.425
F4 F 0.228 0.788 0.925
F5 F 0.386 0.059 0.256
F6 F 0.386 0.441 0.756
F7 F 0.614 0.559 0.244
F8 F 0.614 0.941 0.744
F9 F 0.772 0.212 0.075
F10 F 0.772 0.288 0.575
F11 F 0.859 0.698 0.063
F12 F 0.859 0.802 0.563
# * formation energy without anion corrections: -2.0502 eV per atom
# * M_tot: 0.00 μB per formula unit

***

[16]
# Na2TlCdF | Alexandria | PBE | optimized geometry
data_Na2TlCdF
_cell_length_a 4.555
_cell_length_b 4.555
_cell_length_c 5.852
_cell_angle_alpha 90.00
_cell_angle_beta 90.00
_cell_angle_gamma 90.00
_symmetry_space_group_name_H-M 'P 1'
_symmetry_Int_Tables_number 1
_symmetry_space_group_name_Hall 'P 1'
loop_
_atom_site_label
_atom_site_type_symbol
_atom_site_fract_x
_atom_site_fract_y
_atom_site_fract_z
Na1 Na 0.000 0.500 0.000
Na2 Na 0.500 0.000 0.000
Tl1 Tl 0.000 0.000 0.500
Cd1 Cd 0.500 0.500 0.500
F1 F 0.000 0.000 0.000
# * formation energy without anion corrections: -0.9526 eV per atom
# * M_tot: 0.00 μB per formula unit

***

[17]
# NaTmCdF6 | Alexandria | PBE | optimized geometry
data_NaTmCdF6
_cell_length_a 5.194
_cell_length_b 5.194
_cell_length_c 10.530
_cell_angle_alpha 90.00
_cell_angle_beta 90.00
_cell_angle_gamma 90.00
_symmetry_space_group_name_H-M 'P 1'
_symmetry_Int_Tables_number 1
_symmetry_space_group_name_Hall 'P 1'
loop_
_atom_site_label
_atom_site_type_symbol
_atom_site_fract_x
_atom_site_fract_y
_atom_site_fract_z
Na1 Na 0.000 0.000 0.000
Na2 Na 0.500 0.500 0.500
Tm1 Tm 0.000 0.000 0.335
Tm2 Tm 0.500 0.500 0.835
Cd1 Cd 0.000 0.000 0.668
Cd2 Cd 0.500 0.500 0.168
F1 F 0.187 0.187 0.493
F2 F 0.194 0.194 0.181
F3 F 0.207 0.207 0.829
F4 F 0.293 0.707 0.329
F5 F 0.306 0.694 0.681
F6 F 0.313 0.687 0.993
F7 F 0.687 0.313 0.993
F8 F 0.694 0.306 0.681
F9 F 0.707 0.293 0.329
F10 F 0.793 0.793 0.829
F11 F 0.806 0.806 0.181
F12 F 0.813 0.813 0.493
# * formation energy without anion corrections: -3.2028 eV per atom
# * M_tot: 0.00 μB per formula unit